Crystalline CeEr3Tm7 at its relaxed geometry. Source: the Alexandria database, functional PBE-GGA.

The value obtained for the formation enthalpy at 0 K is 0.210 eV per atom. For the magnetization, the calculation gives 0.8 Bohr magnetons per cell.

It has space group P3m1 (No. 156), with a = 6.9268 Å, b = 6.9268 Å, c = 8.4883 Å, α = 90.00°, β = 90.00° and γ = 120.00°. Symmetry generates all atoms from Ce at (0.0000, 0.0000, 0.0000), Er at (0.1656, 0.3313, 0.3337), Tm at (0.0011, 0.5006, 0.9995), Tm at (0.3291, 0.1646, 0.6710) and Tm at (0.3333, 0.6667, 0.6670).